No. 1
VASP calculation (GGA-PBE) on a relaxed Na4CePm3S8 crystal.

Cell lengths 8.194, 8.194, 8.194 Å; angles 60.23, 60.23, 60.23 degrees
Positions (direct):
Na 0.000 0.000 0.000
Na 0.000 0.500 0.500
Na 0.500 0.000 0.500
Na 0.500 0.500 0.000
Ce 0.500 0.500 0.500
Pm 0.000 0.000 0.500
Pm 0.000 0.500 0.000
Pm 0.500 0.000 0.000
S 0.243 0.745 0.745
S 0.244 0.244 0.244
S 0.255 0.255 0.757
S 0.255 0.757 0.255
S 0.745 0.243 0.745
S 0.745 0.745 0.243
S 0.756 0.756 0.756
S 0.757 0.255 0.255

Calculated values
Raw total energy, eV per cell: -87.1

=====

No. 2
VASP calculation (GGA-PBE) on a relaxed Na3CePm2S6 crystal.

Cell lengths 7.127, 7.127, 7.088 Å; angles 99.64, 99.64, 120.01 degrees
Positions (direct):
Na 0.000 0.000 0.000
Na 0.333 0.667 0.000
Na 0.667 0.333 0.000
Ce 0.500 0.500 0.500
Pm 0.167 0.833 0.500
Pm 0.833 0.167 0.500
S 0.088 0.423 0.268
S 0.243 0.243 0.732
S 0.423 0.088 0.268
S 0.577 0.912 0.732
S 0.757 0.757 0.268
S 0.912 0.577 0.732

Calculated values
Raw total energy, eV per cell: -65.6

=====

No. 3
VASP calculation (GGA-PBE) on a relaxed NaCe3Pm2Se6 crystal.

Cell lengths 9.425, 9.425, 8.441 Å; angles 102.90, 102.90, 25.74 degrees
Positions (direct):
Na 0.000 0.000 0.000
Ce 0.000 0.000 0.500
Ce 0.334 0.334 0.167
Ce 0.666 0.666 0.833
Pm 0.331 0.331 0.661
Pm 0.669 0.669 0.339
Se 0.166 0.166 0.085
Se 0.166 0.166 0.584
Se 0.499 0.499 0.750
Se 0.501 0.501 0.250
Se 0.834 0.834 0.416
Se 0.834 0.834 0.915

Calculated values
Raw total energy, eV per cell: -70.7

=====

No. 4
VASP calculation (GGA-PBE) on a relaxed Na2CePm3Se6 crystal.

Cell lengths 7.276, 7.276, 7.375 Å; angles 99.47, 99.47, 119.98 degrees
Positions (direct):
Na 0.166 0.834 0.000
Na 0.834 0.166 0.000
Ce 0.500 0.500 0.000
Pm 0.000 0.000 0.500
Pm 0.331 0.669 0.500
Pm 0.669 0.331 0.500
Se 0.084 0.416 0.748
Se 0.254 0.254 0.255
Se 0.416 0.084 0.748
Se 0.584 0.916 0.252
Se 0.746 0.746 0.745
Se 0.916 0.584 0.252

Calculated values
Raw total energy, eV per cell: -64.5

=====

No. 5
VASP calculation (GGA-PBE) on a relaxed NaCePm4Se8 crystal.

Cell lengths 8.707, 8.707, 8.707 Å; angles 59.66, 59.66, 59.66 degrees
Positions (direct):
Na 0.000 0.000 0.000
Ce 0.371 0.371 0.371
Pm 0.370 0.370 0.888
Pm 0.370 0.888 0.370
Pm 0.749 0.749 0.749
Pm 0.888 0.370 0.370
Se 0.134 0.134 0.134
Se 0.134 0.134 0.595
Se 0.134 0.595 0.134
Se 0.148 0.618 0.618
Se 0.595 0.134 0.134
Se 0.616 0.616 0.616
Se 0.618 0.148 0.618
Se 0.618 0.618 0.148

Calculated values
Raw total energy, eV per cell: -78.5

=====

No. 6
VASP calculation (GGA-PBE) on a relaxed NaCePm2Se4 crystal.

Cell lengths 7.285, 4.194, 7.327 Å; angles 90.00, 109.21, 90.00 degrees
Positions (direct):
Na 0.000 0.000 0.000
Ce 0.500 0.500 0.000
Pm 0.000 0.500 0.500
Pm 0.500 0.000 0.500
Se 0.248 0.000 0.750
Se 0.251 0.500 0.252
Se 0.749 0.500 0.748
Se 0.752 0.000 0.250

Calculated values
Raw total energy, eV per cell: -44.8

=====

Question: Number 2 is which compound?
Answer: Na3CePm2S6

=====

Question: Among the records above, which one has the highest raw total energy?
Answer: NaCePm2Se4